This record from Alexandria via LeMat-Bulk describes crystalline Li4P at its relaxed geometry. The functional is PBE-GGA.

Properties
energy of formation from the pure elements = -0.354 eV per atom
energy above the most stable polymorph in this dataset = 0.0 meV per atom

Lattice parameters (Å, degrees): 4.947 4.947 4.947 109.47 109.47 109.47
Positions (direct):
Li: 0.000 0.000 0.500
Li: 0.000 0.500 0.000
Li: 0.500 0.000 0.000
Li: 0.500 0.500 0.500
P: 0.000 0.000 0.000